No. 1
VASP calculation (PBE-GGA) on a relaxed structure of AsPbCl2.

Structure (extended XYZ):
```
4
Lattice="5.5828 -1.7051 0.0000 5.5828 1.7051 0.0000 -3.1251 0.0000 5.0248" Properties=species:S:1:pos:R:3 pbc="T T T"
As 0.0000 0.0000 0.0000
Pb 4.0203 0.0000 2.5124
Cl 0.6036 0.0000 3.8664
Cl 7.4369 0.0000 1.1584
```

Output
Energy relative to the lowest polymorph listed for this composition ... 188.3 meV/atom
E_form (uncorrected) ... -0.25 eV per atom
DOS(E_F) ... 0.199 states/eV per atom
Space group ... C2/m, No. 12

***

No. 2
VASP calculation (PBE-GGA) on a relaxed structure of AsPb2Cl.

Structure (extended XYZ):
```
4
Lattice="2.1864 1.2623 7.2347 -2.1864 1.2623 7.2347 0.0000 -2.5246 7.2347" Properties=species:S:1:pos:R:3 pbc="T T T"
As 0.0000 0.0000 0.0000
Pb 0.0000 0.0000 5.6382
Pb 0.0000 0.0000 16.0659
Cl 0.0000 0.0000 10.8521
```

Output
Energy relative to the lowest polymorph listed for this composition ... 0.0 meV/atom
E_form (uncorrected) ... -0.48 eV per atom
DOS(E_F) ... 0.045 states/eV per atom
Space group ... R-3m, No. 166

***

No. 3
VASP calculation (PBE-GGA) on a relaxed structure of As4PbCl.

Structure (extended XYZ):
```
6
Lattice="0.0000 4.2063 4.2063 4.2063 0.0000 4.2063 4.2063 4.2063 0.0000" Properties=species:S:1:pos:R:3 pbc="T T T"
As 0.8938 0.8938 0.8938
As 3.3125 3.3125 0.8938
As 3.3125 0.8938 3.3125
As 0.8938 3.3125 3.3125
Pb 4.2063 4.2063 4.2063
Cl 6.3094 6.3094 6.3094
```

Output
E_form (uncorrected) ... 0.05 eV per atom
DOS(E_F) ... 0.553 states/eV per atom
Space group ... F-43m, No. 216

***

No. 4
VASP calculation (PBE-GGA) on a relaxed structure of AsPbCl2.

Structure (extended XYZ):
```
4
Lattice="5.2955 -1.7338 0.0000 5.2955 1.7338 0.0000 -1.5301 0.0000 6.3637" Properties=species:S:1:pos:R:3 pbc="T T T"
As 0.0000 0.0000 0.0000
Pb 6.0763 0.0000 2.3810
Cl 0.4648 0.0000 5.3708
Cl 3.2846 0.0000 2.5701
```

Output
Energy relative to the lowest polymorph listed for this composition ... 4.3 meV/atom
E_form (uncorrected) ... -0.43 eV per atom
DOS(E_F) ... 0.414 states/eV per atom
Space group ... Cm, No. 8

***

No. 5
VASP calculation (PBE-GGA) on a relaxed structure of As3PbCl.

Structure (extended XYZ):
```
5
Lattice="5.4622 0.0000 0.0000 0.0000 5.4622 0.0000 0.0000 0.0000 5.4622" Properties=species:S:1:pos:R:3 pbc="T T T"
As 0.0000 0.0000 2.7311
As 0.0000 2.7311 0.0000
As 2.7311 0.0000 0.0000
Pb 0.0000 0.0000 0.0000
Cl 2.7311 2.7311 2.7311
```

Output
Energy relative to the lowest polymorph listed for this composition ... 333.1 meV/atom
E_form (uncorrected) ... 1.10 eV per atom
DOS(E_F) ... 1.003 states/eV per atom
Space group ... Pm-3m, No. 221

***

No. 6
VASP calculation (PBE-GGA) on a relaxed structure of AsPb2Cl.

Structure (extended XYZ):
```
4
Lattice="0.0000 3.7336 3.7336 3.7336 0.0000 3.7336 3.7336 3.7336 0.0000" Properties=species:S:1:pos:R:3 pbc="T T T"
As 0.0000 0.0000 0.0000
Pb 1.8668 1.8668 1.8668
Pb 5.6004 5.6004 5.6004
Cl 3.7336 3.7336 3.7336
```

Output
Energy relative to the lowest polymorph listed for this composition ... 160.8 meV/atom
E_form (uncorrected) ... -0.31 eV per atom
DOS(E_F) ... 0.236 states/eV per atom
Space group ... Fm-3m, No. 225

***

No. 7
VASP calculation (PBE-GGA) on a relaxed structure of AsPbCl5.

Structure (extended XYZ):
```
14
Lattice="7.8749 0.0000 0.0000 3.8173 7.3456 0.0000 3.6870 -0.6446 8.8072" Properties=species:S:1:pos:R:3 pbc="T T T"
As 0.0000 0.0000 0.0000
As 3.0503 -0.0529 4.0977
Pb 11.4085 3.4047 7.3205
Pb 10.4171 4.2081 2.7803
Cl 1.5613 1.6583 0.1931
Cl 4.5160 0.1374 5.7592
Cl 4.2298 0.9793 2.5584
Cl 9.5275 4.6381 8.6539
Cl 7.9524 4.8665 3.4540
Cl 9.8231 0.8067 8.5681
Cl 9.6910 1.8993 4.7032
Cl 11.6540 5.1137 5.1067
Cl 11.5587 7.0432 2.2543
Cl 13.5124 4.5075 8.7287
```

Output
E_form (uncorrected) ... -0.84 eV per atom
DOS(E_F) ... 0.000 states/eV per atom
Space group ... P1, No. 1

***

No. 8
VASP calculation (PBE-GGA) on a relaxed structure of As2Pb4Cl.

Structure (extended XYZ):
```
14
Lattice="8.1901 0.0000 0.0000 -3.3848 7.4625 0.0000 -3.2429 -3.1808 6.8209" Properties=species:S:1:pos:R:3 pbc="T T T"
As 0.0000 0.0000 0.0000
As -3.8037 1.2295 6.1573
As -1.6192 3.7647 2.9351
As 4.5195 1.0377 0.0016
Pb -1.8886 0.7405 2.3049
Pb -1.1217 -1.8342 5.1853
Pb 0.7527 2.6998 1.3195
Pb -0.8782 6.5205 1.3490
Pb -1.1253 2.7830 5.7249
Pb 3.3305 -1.3872 4.8733
Pb 4.8949 4.1011 0.3488
Pb 3.8518 2.7788 3.7447
Cl 1.0431 0.6976 4.0237
Cl 2.1478 5.2562 2.2228
```

Output
E_form (uncorrected) ... -0.21 eV per atom
DOS(E_F) ... 0.090 states/eV per atom
Space group ... P1, No. 1